Entry 1:
KBe2As2 | PBE-GGA | relaxed

Structure (POSCAR):
```
KBe2As2
1.0
3.521 0.000 0.000
0.000 3.521 0.000
0.000 0.000 7.931
K Be As
1 2 2
Direct
0.000 0.000 0.000 K
0.000 0.500 0.500 Be
0.500 0.000 0.500 Be
0.500 0.500 0.303 As
0.500 0.500 0.697 As
```

Values from the calculation:
- mass density (Mg/m³) = 3.5
- total magnetic moment (μB/f.u.) = 0.000
- ΔE_f (meV/atom) = -65.1
- relative energy among the computed polymorphs (eV per atom) = 0.270



Entry 2:
LiCaSi2Pd5 | PBE-GGA | relaxed

Structure (POSCAR):
```
LiCaSi2Pd5
1.0
4.142 0.000 0.000
0.000 4.142 0.000
0.000 0.000 8.899
Li Ca Si Pd
1 1 2 5
Direct
0.000 0.000 0.000 Li
0.000 0.000 0.500 Ca
0.500 0.500 0.132 Si
0.500 0.500 0.868 Si
0.000 0.500 0.260 Pd
0.000 0.500 0.740 Pd
0.500 0.000 0.260 Pd
0.500 0.000 0.740 Pd
0.500 0.500 0.500 Pd
```

Values from the calculation:
- mass density (Mg/m³) = 6.9
- total magnetic moment (μB/f.u.) = 0.000
- energy relative to the elements, uncorrected (eV per formula unit) = -5.607



Entry 3:
Li4CdFe | PBE-GGA | relaxed

Structure (POSCAR):
```
Li4CdFe
1.0
0.000 3.590 3.590
3.590 0.000 3.590
3.590 3.590 0.000
Li Cd Fe
4 1 1
Direct
0.376 0.376 0.376 Li
0.376 0.376 0.873 Li
0.376 0.873 0.376 Li
0.873 0.376 0.376 Li
0.000 0.000 0.000 Cd
0.750 0.750 0.750 Fe
```

Values from the calculation:
- mass density (Mg/m³) = 3.5
- total magnetic moment (μB/f.u.) = 2.522
- ΔE_f (meV/atom) = 245.1



Entry 4:
KCdSe3 | PBE-GGA | relaxed

Structure (POSCAR):
```
KCdSe3
1.0
5.358 0.000 0.000
0.000 5.358 0.000
0.000 0.000 5.358
K Cd Se
1 1 3
Direct
0.000 0.000 0.000 K
0.500 0.500 0.500 Cd
0.000 0.500 0.500 Se
0.500 0.000 0.500 Se
0.500 0.500 0.000 Se
```

Values from the calculation:
- mass density (Mg/m³) = 4.2
- total magnetic moment (μB/f.u.) = 0.001
- relative energy among the computed polymorphs (eV per atom) = 0.000
- energy relative to the elements, uncorrected (eV per formula unit) = -0.696